This record from the Alexandria database describes a relaxed La2Zn2Pd crystal. The functional is PBE-GGA.

## Properties
ΔE to the lowest computed polymorph ... 0 meV per atom
DFT formation energy ... -0.52 eV per atom

abc: 5.6847 5.6847 11.0550
angles: 112.51 112.51 48.11
Closest atoms and distances in Å follow each position.
Positions (direct):
La  0.0137  0.0137  0.3377  3 Pd 2.99-3.20, 7 Zn 3.21-3.34
La  0.1989  0.1989  0.1155  6 Zn 3.07-3.39, 2 Pd 3.32
La  0.8011  0.8011  0.8845  6 Zn 3.07-3.39, 2 Pd 3.32
La  0.9863  0.9863  0.6623  3 Pd 2.99-3.20, 7 Zn 3.21-3.34
Zn  0.3524  0.3524  0.4426  3 Pd 2.67-2.84, 1 Zn 2.78
Zn  0.4931  0.4931  0.1132  1 Zn 2.57, 1 Pd 2.66
Zn  0.5069  0.5069  0.8868  1 Zn 2.57, 1 Pd 2.66
Zn  0.6476  0.6476  0.5574  3 Pd 2.67-2.84, 1 Zn 2.78
Pd  0.2732  0.2732  0.6597  4 Zn 2.66-2.84
Pd  0.7268  0.7268  0.3403  4 Zn 2.66-2.84

---

This record from the Alexandria database describes a relaxed Pm12Si6Rh crystal. The functional is PBE-GGA.

## Properties
Formation energy (no corrections) ... -426.7 meV per atom

abc: 8.4874 8.4874 8.4874
angles: 99.90 99.90 99.90
Closest atoms and distances in Å follow each position.
Positions (direct):
Pm  0.0452  0.6787  0.9334  1 Rh 2.79, 2 Si 2.94-2.95
Pm  0.0666  0.9548  0.3213  1 Rh 2.79, 2 Si 2.94-2.95
Pm  0.1838  0.4249  0.5649  4 Si 2.94-3.15
Pm  0.3213  0.0666  0.9548  1 Rh 2.79, 2 Si 2.94-2.95
Pm  0.4249  0.5649  0.1838  4 Si 2.94-3.15
Pm  0.4351  0.8162  0.5751  4 Si 2.94-3.15
Pm  0.5649  0.1838  0.4249  4 Si 2.94-3.15
Pm  0.5751  0.4351  0.8162  4 Si 2.94-3.15
Pm  0.6787  0.9334  0.0452  1 Rh 2.79, 2 Si 2.94-2.95
Pm  0.8162  0.5751  0.4351  4 Si 2.94-3.15
Pm  0.9334  0.0452  0.6787  1 Rh 2.79, 2 Si 2.94-2.95
Pm  0.9548  0.3213  0.0666  1 Rh 2.79, 2 Si 2.94-2.95
Si  0.1298  0.6212  0.3029  7 Pm 2.94-3.23
Si  0.3029  0.1298  0.6212  7 Pm 2.94-3.23
Si  0.3788  0.6971  0.8702  7 Pm 2.94-3.23
Si  0.6212  0.3029  0.1298  7 Pm 2.94-3.23
Si  0.6971  0.8702  0.3788  7 Pm 2.94-3.23
Si  0.8702  0.3788  0.6971  7 Pm 2.94-3.23
Rh  0.0000  0.0000  0.0000  6 Pm 2.79

---

This record from the Alexandria database describes a relaxed Ba3Tl4Pb2 crystal. The functional is PBE-GGA.

## Properties
ΔE to the lowest computed polymorph ... 10 meV per atom
DFT formation energy ... -0.38 eV per atom

abc: 6.9329 6.9329 10.1915
angles: 106.42 106.42 45.90
Closest atoms and distances in Å follow each position.
Positions (direct):
Ba  0.0000  0.0000  0.0000  8 Tl 3.64-4.02
Ba  0.3645  0.3645  0.3086  5 Tl 3.49-3.91, 3 Pb 3.65-3.66
Ba  0.6355  0.6355  0.6914  5 Tl 3.49-3.91, 3 Pb 3.65-3.66
Tl  0.0581  0.0581  0.3781  3 Pb 3.22-3.51, 1 Tl 3.26, 2 Ba 3.58
Tl  0.3003  0.3003  0.9500  1 Pb 3.19, 2 Tl 3.29, 1 Ba 3.49
Tl  0.6997  0.6997  0.0500  1 Pb 3.19, 2 Tl 3.29, 1 Ba 3.49
Tl  0.9419  0.9419  0.6219  3 Pb 3.22-3.51, 1 Tl 3.26, 2 Ba 3.58
Pb  0.3110  0.3110  0.6414  4 Tl 3.19-3.51
Pb  0.6890  0.6890  0.3586  4 Tl 3.19-3.51

---

This record from the Alexandria database describes a relaxed HIrPd2Pt crystal. The functional is PBE-GGA.

## Properties
ΔE to the lowest computed polymorph ... 0 meV per atom

abc: 4.0071 4.0071 3.9463
angles: 90.00 90.00 90.00
Closest atoms and distances in Å follow each position.
Positions (direct):
H  0.0000  0.0000  0.0000  2 Ir 1.97, 4 Pd 2.00
Ir  0.0000  0.0000  0.5000  2 H 1.97
Pd  0.0000  0.5000  0.0000  2 H 2.00
Pd  0.5000  0.0000  0.0000  2 H 2.00
Pt  0.5000  0.5000  0.5000  8 Pd 2.81, 4 Ir 2.83

---

Please write out number 4 again, unchanged.
This record from the Alexandria database describes a relaxed HIrPd2Pt crystal. The functional is PBE-GGA.

## Properties
ΔE to the lowest computed polymorph ... 0 meV per atom

abc: 4.0071 4.0071 3.9463
angles: 90.00 90.00 90.00
Closest atoms and distances in Å follow each position.
Positions (direct):
H  0.0000  0.0000  0.0000  2 Ir 1.97, 4 Pd 2.00
Ir  0.0000  0.0000  0.5000  2 H 1.97
Pd  0.0000  0.5000  0.0000  2 H 2.00
Pd  0.5000  0.0000  0.0000  2 H 2.00
Pt  0.5000  0.5000  0.5000  8 Pd 2.81, 4 Ir 2.83